1.
Material: Ac2Ni3Sb4Pd
Method: DFT, PBE-GGA
State: relaxed

Values from the calculation:
* magnetic moment: 0.00 μB per formula unit
* crystal system: tetragonal
* SG: No. 115
* uncorrected formation energy: -0.729 eV/atom
* final energy: -5.453 eV per atom

POSCAR file:
```
Ac2Ni3Sb4Pd
1.0
4.650 0.000 0.000
0.000 4.650 0.000
0.000 0.000 10.229
Sb Ni Ac Pd
4 3 2 1
direct
0.000 0.500 0.368
0.000 0.000 0.000
0.500 0.500 0.000
0.500 0.000 0.632
0.000 0.000 0.500
0.000 0.500 0.116
0.500 0.000 0.884
0.000 0.500 0.743
0.500 0.000 0.257
0.500 0.500 0.500
```


2.
Material: AcSi8Ni2Pd
Method: DFT, PBE-GGA
State: relaxed

Values from the calculation:
* magnetic moment: 0.00 μB per formula unit
* crystal system: trigonal
* SG: No. 148
* uncorrected formation energy: -0.092 eV/atom
* final energy: -5.446 eV per atom

POSCAR file:
```
AcSi8Ni2Pd
1.0
5.083 0.000 0.000
2.542 4.402 0.000
2.542 1.467 9.141
Si Ac Ni Pd
8 1 2 1
direct
0.093 0.395 0.813
0.127 0.127 0.618
0.907 0.605 0.187
0.301 0.907 0.187
0.395 0.699 0.813
0.699 0.093 0.813
0.605 0.301 0.187
0.873 0.873 0.382
0.500 0.500 0.500
0.217 0.217 0.349
0.783 0.783 0.651
0.000 0.000 0.000
```


3.
Material: AcSiNiPd6
Method: DFT, PBE-GGA
State: relaxed

Values from the calculation:
* magnetic moment: 0.83 μB per formula unit
* crystal system: orthorhombic
* SG: No. 74
* uncorrected formation energy: -0.222 eV/atom
* final energy: -5.386 eV per atom

POSCAR file:
```
AcSiNiPd6
1.0
5.700 0.000 0.000
0.000 9.423 0.000
-2.850 -4.711 6.398
Pd Ac Ni Si
12 2 2 2
direct
0.920 0.170 0.839
0.604 0.878 0.715
0.396 0.122 0.285
0.561 0.311 0.122
0.888 0.662 0.285
0.080 0.830 0.161
0.604 0.338 0.715
0.112 0.878 0.715
0.439 0.689 0.878
0.112 0.338 0.715
0.888 0.122 0.285
0.396 0.662 0.285
0.152 0.402 0.305
0.848 0.598 0.695
0.500 0.000 0.500
0.000 0.000 0.500
0.500 0.000 0.000
0.500 0.500 0.000
```


Question: Which formula does entry 1 have?
Answer: Ac2Ni3Sb4Pd